Density functional theory data (PBE+U) for an optimized crystal structure of FeH3O3.

Lattice parameters (Å, degrees): 7.364 7.364 2.830 90.00 90.00 120.00
Fractional coordinates of all 14 atoms:
Fe 0.333 0.667 0.250
Fe 0.667 0.333 0.750
H 0.083 0.339 0.750
H 0.256 0.917 0.750
H 0.339 0.256 0.250
H 0.661 0.744 0.750
H 0.744 0.083 0.250
H 0.917 0.661 0.250
O 0.197 0.764 0.750
O 0.236 0.433 0.750
O 0.433 0.197 0.250
O 0.567 0.803 0.750
O 0.764 0.567 0.250
O 0.803 0.236 0.250

## Properties
- Space group: P6_3/m (176)
- Size of the total moment: 10.000 μB per cell
- N(E_F): 0.0 states/eV/cell
- E_tot: -5.47 eV/atom